This record from Alexandria via LeMat-Bulk describes PmScAlTc after structural relaxation. The functional is PBE-GGA.

Total DFT energy (no corrections), eV/atom: -6.43
E_form, meV per atom: -130
Volume, A^3/atom: 20.8
Spin magnetization, μB/f.u.: 0.000

The structure in CIF format:
```
data_PmScAlTc
_cell_length_a 6.9254
_cell_length_b 6.9254
_cell_length_c 6.9254
_cell_angle_alpha 90.00
_cell_angle_beta 90.00
_cell_angle_gamma 90.00
_space_group_name_H-M_alt 'F -4 3 m'
_space_group_IT_number 216
_space_group_name_Hall 'F -4 2 3'
loop_
_atom_site_label
_atom_site_fract_x
_atom_site_fract_y
_atom_site_fract_z
Pm1 0.0000 0.0000 0.0000
Sc1 0.0000 0.0000 0.5000
Al1 0.2500 0.2500 0.2500
Tc1 0.2500 0.2500 0.7500
```